The following is a DFT calculation (GGA-PBE) of an optimized crystal structure of CdMoCl2.

Results
**Excess energy over the best structure of this formula in the dataset**: 0.575 eV per atom
**Calculated volume**: 167 Å³/cell
**Uncorrected energy**: -0.261 Ry/atom

```
data_CdMoCl2
_space_group_name_H-M_alt 'C 1 2/m 1'
_space_group_IT_number 12
_cell_length_a 6.362
_cell_length_b 8.882
_cell_length_c 3.360
_cell_angle_alpha 90.00
_cell_angle_beta 118.66
_cell_angle_gamma 90.00
loop_
_space_group_symop_operation_xyz
'x,y,z'
'-x,-y,-z'
'-x,y,-z'
'x,-y,z'
'x+1/2,y+1/2,z'
'-x+1/2,-y+1/2,-z'
'-x+1/2,y+1/2,-z'
'x+1/2,-y+1/2,z'
loop_
_atom_site_label
_atom_site_type_symbol
_atom_site_fract_x
_atom_site_fract_y
_atom_site_fract_z
Cd1 Cd 0.000 0.000 0.000
Mo1 Mo 0.000 0.500 0.000
Cl1 Cl 0.250 0.250 0.000
```



The following is a DFT calculation (GGA-PBE) of an optimized crystal structure of CdMoCl2.

Results
**Excess energy over the best structure of this formula in the dataset**: 0.040 eV per atom
**Calculated volume**: 216 Å³/cell
**Uncorrected energy**: -0.300 Ry/atom

```
data_CdMoCl2
_space_group_name_H-M_alt 'C 1 m 1'
_space_group_IT_number 8
_cell_length_a 10.978
_cell_length_b 3.042
_cell_length_c 7.076
_cell_angle_alpha 90.00
_cell_angle_beta 114.14
_cell_angle_gamma 90.00
loop_
_space_group_symop_operation_xyz
'x,y,z'
'x,-y,z'
'x+1/2,y+1/2,z'
'x+1/2,-y+1/2,z'
loop_
_atom_site_label
_atom_site_type_symbol
_atom_site_fract_x
_atom_site_fract_y
_atom_site_fract_z
Cd1 Cd 0.000 0.000 0.000
Mo1 Mo 0.266 0.000 0.000
Cl1 Cl 0.167 0.500 0.703
Cl2 Cl 0.324 0.500 0.298
```



The following is a DFT calculation (GGA-PBE) of an optimized crystal structure of CdMo2Cl.

Results
**Excess energy over the best structure of this formula in the dataset**: 0.156 eV per atom
**Calculated volume**: 79 Å³/cell
**Uncorrected energy**: -0.433 Ry/atom

```
data_CdMo2Cl
_space_group_name_H-M_alt 'P 4 m m'
_space_group_IT_number 99
_cell_length_a 3.163
_cell_length_b 3.163
_cell_length_c 7.938
_cell_angle_alpha 90.00
_cell_angle_beta 90.00
_cell_angle_gamma 90.00
loop_
_space_group_symop_operation_xyz
'x,y,z'
'-y,x,z'
'-x,-y,z'
'y,-x,z'
'-x,y,z'
'y,x,z'
'x,-y,z'
'-y,-x,z'
loop_
_atom_site_label
_atom_site_type_symbol
_atom_site_fract_x
_atom_site_fract_y
_atom_site_fract_z
Cd1 Cd 0.000 0.000 0.000
Mo1 Mo 0.000 0.000 0.583
Mo2 Mo 0.500 0.500 0.751
Cl1 Cl 0.500 0.500 0.351
```



The following is a DFT calculation (GGA-PBE) of an optimized crystal structure of CdMoCl4.

Results
**Calculated volume**: 578 Å³/cell
**Uncorrected energy**: -0.173 Ry/atom

```
data_CdMoCl4
_space_group_name_H-M_alt 'F -4 3 m'
_space_group_IT_number 216
_space_group_name_Hall 'F -4 2 3'
_cell_length_a 8.328
_cell_length_b 8.328
_cell_length_c 8.328
_cell_angle_alpha 90.00
_cell_angle_beta 90.00
_cell_angle_gamma 90.00
loop_
_atom_site_label
_atom_site_type_symbol
_atom_site_fract_x
_atom_site_fract_y
_atom_site_fract_z
Cd1 Cd 0.000 0.000 0.000
Mo1 Mo 0.250 0.250 0.250
Cl1 Cl 0.125 0.125 0.625
```



The following is a DFT calculation (GGA-PBE) of an optimized crystal structure of CdMoCl2.

Results
**Excess energy over the best structure of this formula in the dataset**: 0.684 eV per atom
**Calculated volume**: 351 Å³/cell
**Uncorrected energy**: -0.253 Ry/atom

```
data_CdMoCl2
_space_group_name_H-M_alt 'F m -3 m'
_space_group_IT_number 225
_space_group_name_Hall '-F 4 2 3'
_cell_length_a 7.051
_cell_length_b 7.051
_cell_length_c 7.051
_cell_angle_alpha 90.00
_cell_angle_beta 90.00
_cell_angle_gamma 90.00
loop_
_atom_site_label
_atom_site_type_symbol
_atom_site_fract_x
_atom_site_fract_y
_atom_site_fract_z
Cd1 Cd 0.000 0.000 0.000
Mo1 Mo 0.000 0.000 0.500
Cl1 Cl 0.250 0.250 0.250
```



The following is a DFT calculation (GGA-PBE) of an optimized crystal structure of CdMo2Cl.

Results
**Excess energy over the best structure of this formula in the dataset**: 0.697 eV per atom
**Calculated volume**: 68 Å³/cell
**Uncorrected energy**: -0.393 Ry/atom

```
data_CdMo2Cl
_space_group_name_H-M_alt 'P 4/m m m'
_space_group_IT_number 123
_space_group_name_Hall '-P 4 2'
_cell_length_a 2.806
_cell_length_b 2.806
_cell_length_c 8.633
_cell_angle_alpha 90.00
_cell_angle_beta 90.00
_cell_angle_gamma 90.00
loop_
_atom_site_label
_atom_site_type_symbol
_atom_site_fract_x
_atom_site_fract_y
_atom_site_fract_z
Cd1 Cd 0.000 0.000 0.000
Mo1 Mo 0.500 0.500 0.263
Cl1 Cl 0.000 0.000 0.500
```